The following is a DFT calculation (PBE-GGA) of crystalline VTeI2 at its relaxed geometry.

extended XYZ file:
```
16
Lattice="7.663 0.000 0.000 0.000 7.663 0.000 0.000 0.000 7.663" Properties=species:S:1:pos:R:3 pbc="T T T"
V 0.000 0.000 0.000
V 0.000 3.831 3.831
V 3.831 0.000 3.831
V 3.831 3.831 0.000
Te 0.000 0.000 3.831
Te 0.000 3.831 0.000
Te 3.831 0.000 0.000
Te 3.831 3.831 3.831
I 1.916 1.916 1.916
I 1.916 1.916 5.747
I 1.916 5.747 1.916
I 1.916 5.747 5.747
I 5.747 1.916 1.916
I 5.747 1.916 5.747
I 5.747 5.747 1.916
I 5.747 5.747 5.747
```

Results
E_tot: -3.190 eV/atom
Formation energy (no corrections): 2.60 eV per formula unit
Density: 6.38 g cm⁻³
Space-group type: Fm-3m, No. 225
D(E_F): 1.618 states/eV/atom
Polymorph energy (0 for the lowest one): 722 meV per atom

The following is a DFT calculation (PBE-GGA) of crystalline VTeI at its relaxed geometry.

extended XYZ file:
```
6
Lattice="6.631 0.000 0.000 0.000 3.950 0.000 -0.129 0.000 7.213" Properties=species:S:1:pos:R:3 pbc="T T T"
V 1.294 0.987 3.581
V 5.208 2.962 3.632
Te 0.529 2.962 1.852
Te 5.973 0.987 5.361
I 2.685 2.962 5.103
I 3.817 0.987 2.110
```

Results
E_tot: -4.996 eV/atom
Formation energy (no corrections): -1.18 eV per formula unit
Density: 5.37 g cm⁻³
Space-group type: P2_1/m, No. 11
D(E_F): 0.001 states/eV/atom
Polymorph energy (0 for the lowest one): 0 meV per atom

The following is a DFT calculation (PBE-GGA) of crystalline YVTe2I at its relaxed geometry.

extended XYZ file:
```
5
Lattice="5.408 0.000 0.000 0.000 5.408 0.000 0.000 0.000 5.265" Properties=species:S:1:pos:R:3 pbc="T T T"
Y 0.000 0.000 0.000
V 2.704 2.704 2.632
Te 0.000 2.704 2.632
Te 2.704 0.000 2.632
I 2.704 2.704 0.000
```

Results
E_tot: -4.882 eV/atom
Formation energy (no corrections): -1.00 eV per formula unit
Density: 5.63 g cm⁻³
Space-group type: P4/mmm, No. 123
D(E_F): 0.564 states/eV/atom
Polymorph energy (0 for the lowest one): 0 meV per atom

The following is a DFT calculation (PBE-GGA) of crystalline YVTe2I at its relaxed geometry.

extended XYZ file:
```
5
Lattice="5.881 0.000 0.000 0.000 5.881 0.000 0.000 0.000 5.827" Properties=species:S:1:pos:R:3 pbc="T T T"
Y 0.000 0.000 0.000
V 2.941 2.941 2.914
Te 0.000 2.941 0.000
Te 2.941 0.000 0.000
I 0.000 0.000 2.914
```

Results
E_tot: -4.288 eV/atom
Formation energy (no corrections): 1.97 eV per formula unit
Density: 4.30 g cm⁻³
Space-group type: P4/mmm, No. 123
D(E_F): 2.201 states/eV/atom
Polymorph energy (0 for the lowest one): 594 meV per atom

The following is a DFT calculation (PBE-GGA) of crystalline VZn2TeI at its relaxed geometry.

extended XYZ file:
```
5
Lattice="5.186 0.000 0.000 0.000 5.186 0.000 0.000 0.000 9.098" Properties=species:S:1:pos:R:3 pbc="T T T"
V 0.000 0.000 0.000
Zn 0.000 2.593 4.549
Zn 2.593 0.000 4.549
Te 2.593 2.593 4.549
I 2.593 2.593 0.000
```

Results
E_tot: -2.388 eV/atom
Formation energy (no corrections): 4.42 eV per formula unit
Density: 2.96 g cm⁻³
Space-group type: P4/mmm, No. 123
D(E_F): 0.742 states/eV/atom

The following is a DFT calculation (PBE-GGA) of crystalline ZrVTe2I at its relaxed geometry.

extended XYZ file:
```
5
Lattice="5.296 0.000 0.000 0.000 5.296 0.000 0.000 0.000 5.280" Properties=species:S:1:pos:R:3 pbc="T T T"
Zr 0.000 0.000 0.000
V 2.648 2.648 2.640
Te 0.000 2.648 2.640
Te 2.648 0.000 2.640
I 2.648 2.648 0.000
```

Results
E_tot: -4.753 eV/atom
Formation energy (no corrections): 1.73 eV per formula unit
Density: 5.88 g cm⁻³
Space-group type: P4/mmm, No. 123
D(E_F): 0.988 states/eV/atom
Polymorph energy (0 for the lowest one): 0 meV per atom